Record 1
First-principles (PBE) data for a relaxed Na2PrInBi2 crystal, as listed in Alexandria via LeMat-Bulk.

VASP energy = -3.389 eV/atom
Total magnetization = 0.00 μB per atom

```
data_Na2PrInBi2
_chemical_formula_sum 'Na4 Pr2 In2 Bi4'
_cell_length_a 5.209
_cell_length_b 9.793
_cell_length_c 7.089
_cell_angle_alpha 90.00
_cell_angle_beta 90.00
_cell_angle_gamma 90.00
_symmetry_space_group_name_H-M 'P m c 21'
_symmetry_Int_Tables_number 26
loop_
_symmetry_equiv_pos_as_xyz
'x,y,z'
'-x,-y,z+1/2'
'-x,y,z'
'x,-y,z+1/2'
loop_
_atom_site_label
_atom_site_fract_x
_atom_site_fract_y
_atom_site_fract_z
Na1 0.000 0.008 0.000
Na2 0.500 0.151 0.258
Pr1 0.500 0.495 0.990
In1 0.000 0.341 0.723
Bi1 0.000 0.334 0.245
Bi2 0.500 0.180 0.750
```

---

Record 2
First-principles (PBE) data for a relaxed NaInBi2Pt crystal, as listed in Alexandria via LeMat-Bulk.

VASP energy = -2.652 eV/atom
Total magnetization = 0.00 μB per atom

```
data_NaInBi2Pt
_chemical_formula_sum 'Na1 In1 Bi2 Pt1'
_cell_length_a 5.374
_cell_length_b 5.374
_cell_length_c 5.194
_cell_angle_alpha 90.00
_cell_angle_beta 90.00
_cell_angle_gamma 90.00
_symmetry_space_group_name_H-M 'P 4/m m m'
_symmetry_Int_Tables_number 123
_symmetry_space_group_name_Hall '-P 4 2'
loop_
_atom_site_label
_atom_site_fract_x
_atom_site_fract_y
_atom_site_fract_z
Na1 0.000 0.000 0.000
In1 0.000 0.000 0.500
Bi1 0.000 0.500 0.000
Pt1 0.500 0.500 0.500
```

---

Record 3
First-principles (PBE) data for a relaxed NaInBiPt crystal, as listed in Alexandria via LeMat-Bulk.

VASP energy = -3.677 eV/atom
Total magnetization = 0.00 μB per atom

```
data_NaInBiPt
_chemical_formula_sum 'Na4 In4 Bi4 Pt4'
_cell_length_a 7.043
_cell_length_b 7.043
_cell_length_c 7.043
_cell_angle_alpha 90.00
_cell_angle_beta 90.00
_cell_angle_gamma 90.00
_symmetry_space_group_name_H-M 'F -4 3 m'
_symmetry_Int_Tables_number 216
_symmetry_space_group_name_Hall 'F -4 2 3'
loop_
_atom_site_label
_atom_site_fract_x
_atom_site_fract_y
_atom_site_fract_z
Na1 0.000 0.000 0.000
In1 0.250 0.250 0.250
Bi1 0.250 0.250 0.750
Pt1 0.000 0.000 0.500
```

---

Record 4
First-principles (PBE) data for a relaxed Na2PuInBi2 crystal, as listed in Alexandria via LeMat-Bulk.

VASP energy = -4.845 eV/atom
Total magnetization = 0.97 μB per atom

```
data_Na2PuInBi2
_chemical_formula_sum 'Na4 Pu2 In2 Bi4'
_cell_length_a 6.759
_cell_length_b 5.199
_cell_length_c 9.793
_cell_angle_alpha 90.00
_cell_angle_beta 90.00
_cell_angle_gamma 90.00
_symmetry_space_group_name_H-M 'P m m a'
_symmetry_Int_Tables_number 51
loop_
_symmetry_equiv_pos_as_xyz
'x,y,z'
'-x,-y,-z'
'-x+1/2,-y,z'
'x+1/2,y,-z'
'x+1/2,-y,-z'
'-x+1/2,y,z'
'-x,y,-z'
'x,-y,z'
loop_
_atom_site_label
_atom_site_fract_x
_atom_site_fract_y
_atom_site_fract_z
Na1 0.000 0.000 0.000
Na2 0.250 0.500 0.152
Pu1 0.000 0.500 0.500
In1 0.250 0.000 0.656
Bi1 0.250 0.000 0.333
Bi2 0.250 0.500 0.821
```

---

Record 5
First-principles (PBE) data for a relaxed RbNaInBi2 crystal, as listed in Alexandria via LeMat-Bulk.

VASP energy = -2.821 eV/atom
Total magnetization = 0.00 μB per atom

```
data_RbNaInBi2
_chemical_formula_sum 'Rb2 Na2 In2 Bi4'
_cell_length_a 5.191
_cell_length_b 5.191
_cell_length_c 13.652
_cell_angle_alpha 90.00
_cell_angle_beta 90.00
_cell_angle_gamma 90.00
_symmetry_space_group_name_H-M 'I -4 m 2'
_symmetry_Int_Tables_number 119
_symmetry_space_group_name_Hall 'I -4 -2'
loop_
_atom_site_label
_atom_site_fract_x
_atom_site_fract_y
_atom_site_fract_z
Rb1 0.000 0.000 0.000
Na1 0.000 0.500 0.750
In1 0.000 0.500 0.250
Bi1 0.000 0.000 0.383
```

---

Record 6
First-principles (PBE) data for a relaxed NaInReBi2 crystal, as listed in Alexandria via LeMat-Bulk.

VASP energy = -3.616 eV/atom
Total magnetization = 0.59 μB per atom

```
data_NaInReBi2
_chemical_formula_sum 'Na1 In1 Re1 Bi2'
_cell_length_a 5.818
_cell_length_b 5.818
_cell_length_c 5.210
_cell_angle_alpha 90.00
_cell_angle_beta 90.00
_cell_angle_gamma 90.00
_symmetry_space_group_name_H-M 'P 4/m m m'
_symmetry_Int_Tables_number 123
_symmetry_space_group_name_Hall '-P 4 2'
loop_
_atom_site_label
_atom_site_fract_x
_atom_site_fract_y
_atom_site_fract_z
Na1 0.000 0.000 0.000
In1 0.500 0.500 0.500
Re1 0.500 0.500 0.000
Bi1 0.000 0.500 0.500
```

---

Record 7
First-principles (PBE) data for a relaxed NaIn2BiRh crystal, as listed in Alexandria via LeMat-Bulk.

VASP energy = -3.692 eV/atom
Total magnetization = 0.00 μB per atom

```
data_NaIn2BiRh
_chemical_formula_sum 'Na1 In2 Bi1 Rh1'
_cell_length_a 5.154
_cell_length_b 5.154
_cell_length_c 5.522
_cell_angle_alpha 90.00
_cell_angle_beta 90.00
_cell_angle_gamma 90.00
_symmetry_space_group_name_H-M 'P 4/m m m'
_symmetry_Int_Tables_number 123
_symmetry_space_group_name_Hall '-P 4 2'
loop_
_atom_site_label
_atom_site_fract_x
_atom_site_fract_y
_atom_site_fract_z
Na1 0.000 0.000 0.000
In1 0.000 0.500 0.500
Bi1 0.500 0.500 0.000
Rh1 0.500 0.500 0.500
```

---

Record 8
First-principles (PBE) data for a relaxed NaInBiRh crystal, as listed in Alexandria via LeMat-Bulk.

VASP energy = -3.923 eV/atom
Total magnetization = 0.00 μB per atom

```
data_NaInBiRh
_chemical_formula_sum 'Na4 In4 Bi4 Rh4'
_cell_length_a 6.936
_cell_length_b 6.936
_cell_length_c 6.936
_cell_angle_alpha 90.00
_cell_angle_beta 90.00
_cell_angle_gamma 90.00
_symmetry_space_group_name_H-M 'F -4 3 m'
_symmetry_Int_Tables_number 216
_symmetry_space_group_name_Hall 'F -4 2 3'
loop_
_atom_site_label
_atom_site_fract_x
_atom_site_fract_y
_atom_site_fract_z
Na1 0.000 0.000 0.000
In1 0.250 0.250 0.750
Bi1 0.250 0.250 0.250
Rh1 0.000 0.000 0.500
```

---

Record 9
First-principles (PBE) data for a relaxed Na2InBiS4 crystal, as listed in Alexandria via LeMat-Bulk.

Formation energy from raw total energies = -795 meV/atom
Total magnetization = 0.00 μB per atom

```
data_Na2InBiS4
_chemical_formula_sum 'Na2 In1 Bi1 S4'
_cell_length_a 6.886
_cell_length_b 3.960
_cell_length_c 7.139
_cell_angle_alpha 90.00
_cell_angle_beta 108.67
_cell_angle_gamma 90.00
_symmetry_space_group_name_H-M 'P 1 2/m 1'
_symmetry_Int_Tables_number 10
loop_
_symmetry_equiv_pos_as_xyz
'x,y,z'
'-x,-y,-z'
'-x,y,-z'
'x,-y,z'
loop_
_atom_site_label
_atom_site_fract_x
_atom_site_fract_y
_atom_site_fract_z
Na1 0.000 0.000 0.000
Na2 0.500 0.500 0.000
In1 0.000 0.500 0.500
Bi1 0.500 0.000 0.500
S1 0.227 0.000 0.723
S2 0.241 0.500 0.267
```

---

Record 10
First-principles (PBE) data for a relaxed Na3InBi2S6 crystal, as listed in Alexandria via LeMat-Bulk.

Formation energy from raw total energies = -782 meV/atom
Total magnetization = 0.00 μB per atom

```
data_Na3InBi2S6
_chemical_formula_sum 'Na6 In2 Bi4 S12'
_cell_length_a 6.928
_cell_length_b 12.015
_cell_length_c 7.163
_cell_angle_alpha 90.00
_cell_angle_beta 108.88
_cell_angle_gamma 90.00
_symmetry_space_group_name_H-M 'C 1 2/m 1'
_symmetry_Int_Tables_number 12
loop_
_symmetry_equiv_pos_as_xyz
'x,y,z'
'-x,-y,-z'
'-x,y,-z'
'x,-y,z'
'x+1/2,y+1/2,z'
'-x+1/2,-y+1/2,-z'
'-x+1/2,y+1/2,-z'
'x+1/2,-y+1/2,z'
loop_
_atom_site_label
_atom_site_fract_x
_atom_site_fract_y
_atom_site_fract_z
Na1 0.000 0.000 0.000
Na2 0.000 0.331 0.000
In1 0.000 0.500 0.500
Bi1 0.000 0.166 0.500
S1 0.236 0.342 0.731
S2 0.239 0.500 0.271
```

---

Record 11
First-principles (PBE) data for a relaxed NaInBiS3 crystal, as listed in Alexandria via LeMat-Bulk.

Formation energy from raw total energies = -490 meV/atom
Total magnetization = 0.00 μB per atom

```
data_NaInBiS3
_chemical_formula_sum 'Na2 In2 Bi2 S6'
_cell_length_a 7.751
_cell_length_b 4.533
_cell_length_c 9.785
_cell_angle_alpha 90.00
_cell_angle_beta 90.06
_cell_angle_gamma 90.00
_symmetry_space_group_name_H-M 'P 1 21/m 1'
_symmetry_Int_Tables_number 11
loop_
_symmetry_equiv_pos_as_xyz
'x,y,z'
'-x,-y,-z'
'-x,y+1/2,-z'
'x,-y+1/2,z'
loop_
_atom_site_label
_atom_site_fract_x
_atom_site_fract_y
_atom_site_fract_z
Na1 0.123 0.250 0.140
In1 0.131 0.250 0.577
Bi1 0.384 0.750 0.850
S1 0.149 0.250 0.838
S2 0.209 0.750 0.474
S3 0.367 0.750 0.112
```

---

Record 12
First-principles (PBE) data for a relaxed NaInBiS2 crystal, as listed in Alexandria via LeMat-Bulk.

Formation energy from raw total energies = 325 meV/atom
Total magnetization = 0.08 μB per atom

```
data_NaInBiS2
_chemical_formula_sum 'Na1 In1 Bi1 S2'
_cell_length_a 5.091
_cell_length_b 5.091
_cell_length_c 5.618
_cell_angle_alpha 90.00
_cell_angle_beta 90.00
_cell_angle_gamma 90.00
_symmetry_space_group_name_H-M 'P 4/m m m'
_symmetry_Int_Tables_number 123
_symmetry_space_group_name_Hall '-P 4 2'
loop_
_atom_site_label
_atom_site_fract_x
_atom_site_fract_y
_atom_site_fract_z
Na1 0.000 0.000 0.000
In1 0.000 0.000 0.500
Bi1 0.500 0.500 0.000
S1 0.000 0.500 0.500
```